Here is Pr5ErTm2Th after structural relaxation from Alexandria via LeMat-Bulk. Energies are from GGA-PBE.

abc: 11.142 11.142 10.684
angles: 90.00 90.00 151.76
Fractional positions:
Pr  0.000  0.000  0.000
Pr  0.000  0.000  0.500
Pr  0.126  0.874  0.750
Pr  0.221  0.779  0.443
Pr  0.222  0.778  0.058
Pr  0.498  0.502  0.250
Pr  0.502  0.498  0.750
Pr  0.778  0.222  0.558
Pr  0.779  0.221  0.943
Pr  0.874  0.126  0.250
Er  0.102  0.898  0.250
Er  0.898  0.102  0.750
Tm  0.387  0.613  0.505
Tm  0.388  0.612  0.995
Tm  0.612  0.388  0.495
Tm  0.613  0.387  0.005
Th  0.288  0.712  0.750
Th  0.712  0.288  0.250

## Properties
crystal system = orthorhombic
calculated formation energy = 0.141 eV per atom
SG = Cmc2_1, No. 36
volume = 34.9 A^3/atom
E_tot = -87.10 eV/cell

***

Here is CrRuSe2 after structural relaxation from Alexandria via LeMat-Bulk. Energies are from GGA-PBE.

abc: 3.817 3.816 6.245
angles: 90.00 90.63 90.00
Fractional positions:
Cr  0.000  0.000  0.000
Ru  0.500  0.500  0.000
Se  0.005  0.500  0.247
Se  0.495  0.000  0.753

## Properties
crystal system = monoclinic
energy above the lowest structure with this stoichiometry = 0.00 eV per formula unit
SG = Pm, No. 6
volume = 22.7 A^3/atom
E_tot = -26.95 eV/cell

***

Here is V4Cr3Pt after structural relaxation from Alexandria via LeMat-Bulk. Energies are from GGA-PBE.

abc: 4.165 4.165 5.956
angles: 90.00 90.00 90.00
Fractional positions:
V  0.000  0.500  0.235
V  0.000  0.500  0.765
V  0.500  0.000  0.235
V  0.500  0.000  0.765
Cr  0.000  0.000  0.000
Cr  0.000  0.000  0.500
Cr  0.500  0.500  0.000
Pt  0.500  0.500  0.500

## Properties
crystal system = tetragonal
calculated formation energy = -0.205 eV per atom
SG = P4/mmm, No. 123
volume = 12.9 A^3/atom
E_tot = -73.02 eV/cell

***

Here is Tb4Ag2Ru after structural relaxation from Alexandria via LeMat-Bulk. Energies are from GGA-PBE.

abc: 8.686 8.686 8.686
angles: 33.72 33.72 33.72
Fractional positions:
Tb  0.120  0.120  0.120
Tb  0.371  0.371  0.371
Tb  0.629  0.629  0.629
Tb  0.880  0.880  0.880
Ag  0.248  0.248  0.248
Ag  0.752  0.752  0.752
Ru  0.000  0.000  0.000

## Properties
crystal system = trigonal
calculated formation energy = -0.205 eV per atom
SG = R-3m, No. 166
volume = 25.7 A^3/atom
E_tot = -34.93 eV/cell

***

Here is Mo3HW after structural relaxation from Alexandria via LeMat-Bulk. Energies are from GGA-PBE.

abc: 4.048 4.048 4.048
angles: 90.00 90.00 90.00
Fractional positions:
Mo  0.000  0.000  0.500
Mo  0.000  0.500  0.000
Mo  0.500  0.000  0.000
H  0.000  0.000  0.000
W  0.500  0.500  0.500

## Properties
crystal system = cubic
energy above the lowest structure with this stoichiometry = 0.00 eV per formula unit
SG = Pm-3m, No. 221
volume = 13.3 A^3/atom
E_tot = -47.49 eV/cell

***

Here is PrFeH after structural relaxation from Alexandria via LeMat-Bulk. Energies are from GGA-PBE.

abc: 8.325 8.325 3.621
angles: 90.00 90.00 157.81
Fractional positions:
Pr  0.098  0.902  0.750
Pr  0.902  0.098  0.250
Fe  0.243  0.757  0.250
Fe  0.757  0.243  0.750
H  0.451  0.549  0.750
H  0.549  0.451  0.250

## Properties
crystal system = orthorhombic
SG = Cmcm, No. 63
volume = 15.8 A^3/atom
E_tot = -32.91 eV/cell

***

Here is Nd2GaNi9 after structural relaxation from Alexandria via LeMat-Bulk. Energies are from GGA-PBE.

abc: 8.694 8.694 8.694
angles: 32.95 32.95 32.95
Fractional positions:
Nd  0.134  0.134  0.134
Nd  0.866  0.866  0.866
Ga  0.000  0.000  0.000
Ni  0.080  0.580  0.580
Ni  0.333  0.333  0.333
Ni  0.420  0.420  0.920
Ni  0.420  0.920  0.420
Ni  0.500  0.500  0.500
Ni  0.580  0.080  0.580
Ni  0.580  0.580  0.080
Ni  0.667  0.667  0.667
Ni  0.920  0.420  0.420

## Properties
crystal system = trigonal
calculated formation energy = -0.152 eV per atom
SG = R-3m, No. 166
volume = 14.4 A^3/atom
E_tot = -66.42 eV/cell

***

Here is Na2InAg after structural relaxation from Alexandria via LeMat-Bulk. Energies are from GGA-PBE.

abc: 10.720 10.720 10.720
angles: 17.73 17.73 17.73
Fractional positions:
Na  0.000  0.000  0.000
Na  0.179  0.179  0.179
In  0.423  0.423  0.423
Ag  0.589  0.589  0.589

## Properties
crystal system = trigonal
calculated formation energy = 0.025 eV per atom
SG = R3m, No. 160
volume = 24.9 A^3/atom
E_tot = -8.13 eV/cell

***

- Among the records above, which one has the highest volume?
  Pr5ErTm2Th

***

- What is the formula in the third record?
  V4Cr3Pt

***

- volume of number 3 (V4Cr3Pt)?
  12.9 A^3/atom